[1]
VASP calculation (PBE) on an optimized crystal structure of Fe2CoIr8.

Cell: 7.9101 9.8444 4.0544 Å, 90.00 90.00 90.00°
Closest atoms and distances in Å follow each position.
Space group Cmmm (No. 65)
One atom of each set of equivalent atoms:
Fe1 0.0000 0.1171 0.0000 [4 per cell]  1 Fe 2.31, 2 Ir 2.39
Co1 0.0000 0.5000 0.5000 [2 per cell]  12 Ir 2.50-2.75
Ir1 0.0000 0.2460 0.5000 [4 per cell]  2 Fe 2.39, 1 Co 2.50
Ir2 0.1645 0.0000 0.5000 [4 per cell]  7 Ir 2.60-2.77, 1 Co 2.65, 4 Fe 2.67
Ir3 0.1660 0.3659 0.0000 [8 per cell]  7 Ir 2.63-2.77, 2 Fe 2.65-2.78, 2 Co 2.75

Results
The calculation puts the formation enthalpy at 0 K at 0.2654 eV per atom. Its final energy is -92.00 eV/f.u.

---

[2]
VASP calculation (PBE) on an optimized crystal structure of FeCo2Ir.

Cell: 2.6226 3.5549 5.1646 Å, 90.00 90.10 90.00°
Closest atoms and distances in Å follow each position.
Space group P2/m (No. 10)
One atom of each set of equivalent atoms:
Fe1 0.0000 0.0000 0.0000 [1 per cell]  8 Co 2.54-2.55, 2 Ir 2.58, 2 Fe 2.62
Co1 0.4992 0.5000 0.2452 [2 per cell]  4 Co 2.53-2.63, 4 Fe 2.54-2.55, 4 Ir 2.57
Ir1 0.0000 0.0000 0.5000 [1 per cell]  8 Co 2.57, 2 Fe 2.58, 2 Ir 2.62

Results
The calculation puts the formation enthalpy at 0 K at 0.0346 eV per atom. Its final energy is -31.40 eV/f.u.

---

[3]
VASP calculation (PBE) on an optimized crystal structure of FeCo2Ir2.

Cell: 6.9383 6.9383 2.6736 Å, 90.00 90.00 90.00°
Closest atoms and distances in Å follow each position.
Space group P4/mbm (No. 127)
One atom of each set of equivalent atoms:
Fe1 0.0000 0.0000 0.0000 [2 per cell]  2 Fe 2.67, 4 Co 2.76, 8 Ir 2.88
Co1 0.1200 0.3800 0.0000 [4 per cell]  1 Co 2.36, 6 Ir 2.40-2.49
Ir1 0.1772 0.6772 0.5000 [4 per cell]  6 Co 2.40-2.49, 2 Ir 2.67

Results
The calculation puts the formation enthalpy at 0 K at 0.3870 eV per atom. Its final energy is -38.46 eV/f.u.

---

[4]
VASP calculation (PBE) on an optimized crystal structure of Fe6CoIr2.

Cell: 6.9709 12.0228 2.5437 Å, 90.00 90.00 90.00°
Closest atoms and distances in Å follow each position.
Space group Cmmm (No. 65)
One atom of each set of equivalent atoms:
Fe1 0.1648 0.1646 0.0000 [8 per cell]  5 Fe 2.29-2.54
Fe2 0.1700 0.5000 0.0000 [4 per cell]  5 Fe 2.29-2.54
Co1 0.0000 0.0000 0.5000 [2 per cell]  2 Co 2.54, 12 Fe 2.62-2.63
Ir1 0.0000 0.3332 0.5000 [4 per cell]  2 Ir 2.54, 12 Fe 2.65-2.66

Results
The calculation puts the formation enthalpy at 0 K at 0.1238 eV per atom. Its final energy is -74.49 eV/f.u.

---

[5]
VASP calculation (PBE) on an optimized crystal structure of Fe9Co4Ir11.

Cell: 10.8077 15.9864 3.6502 Å, 90.00 90.00 90.00°
Closest atoms and distances in Å follow each position.
Space group Cmmm (No. 65)
One atom of each set of equivalent atoms:
Fe1 0.0000 0.0000 0.0000 [2 per cell]  4 Co 2.21
Fe2 0.1219 0.2459 0.0000 [8 per cell]  1 Co 2.46, 8 Ir 2.60-2.70, 2 Fe 2.64-2.72
Fe3 0.1218 0.4161 0.0000 [8 per cell]  1 Co 2.46, 8 Ir 2.62-2.66, 3 Fe 2.63-2.72
Co1 0.1510 0.0935 0.0000 [8 per cell]  3 Fe 2.21-2.46, 2 Ir 2.44
Ir1 0.0000 0.1523 0.5000 [4 per cell]  4 Co 2.62, 4 Fe 2.70, 3 Ir 2.75-2.80
Ir2 0.0000 0.3272 0.5000 [4 per cell]  8 Fe 2.60-2.66, 4 Ir 2.67-2.80
Ir3 0.0000 0.5000 0.5000 [2 per cell]  8 Fe 2.62, 4 Ir 2.72-2.76
Ir4 0.2468 0.3322 0.5000 [8 per cell]  2 Co 2.44, 6 Fe 2.63-2.66, 3 Ir 2.63-2.68
Ir5 0.2484 0.0000 0.5000 [4 per cell]  4 Co 2.58, 4 Fe 2.66, 3 Ir 2.68-2.72

Results
The calculation puts the formation enthalpy at 0 K at 0.1044 eV per atom. Its final energy is -199.55 eV/f.u.

---

[6]
VASP calculation (PBE) on an optimized crystal structure of FeCo2Ir8.

Cell: 3.9385 6.7694 11.5685 Å, 90.00 90.00 90.00°
Closest atoms and distances in Å follow each position.
Space group Immm (No. 71)
One atom of each set of equivalent atoms:
Fe1 0.0000 0.0000 0.0000 [2 per cell]  12 Ir 2.63-2.84
Co1 0.0000 0.0000 0.3027 [4 per cell]  10 Ir 2.50-2.65
Ir1 0.0000 0.1978 0.5000 [4 per cell]  2 Co 2.65, 7 Ir 2.67-2.69, 2 Fe 2.84
Ir2 0.0000 0.2831 0.1557 [8 per cell]  3 Co 2.50-2.56, 1 Fe 2.63, 5 Ir 2.67-2.75
Ir3 0.0000 0.5000 0.3488 [4 per cell]  2 Fe 2.63, 2 Co 2.64, 8 Ir 2.67-2.75

Results
The calculation puts the formation enthalpy at 0 K at 0.1500 eV per atom. Its final energy is -91.91 eV/f.u.

---

[7]
VASP calculation (PBE) on an optimized crystal structure of Fe4CoIr2.

Cell: 14.9450 4.6347 5.1066 Å, 90.00 91.79 90.00°
Closest atoms and distances in Å follow each position.
Space group C2/c (No. 15)
One atom of each set of equivalent atoms:
Fe1 0.0647 0.0980 0.3980 [8 per cell]  5 Fe 2.40-2.64, 3 Co 2.52-2.65, 2 Ir 2.59-2.65
Fe2 0.1330 0.4072 0.0329 [8 per cell]  2 Co 2.42-2.46, 5 Fe 2.59-2.69, 4 Ir 2.66-2.70
Co1 0.0000 0.4105 0.7500 [4 per cell]  10 Fe 2.42-2.65, 2 Co 2.68
Ir1 0.2126 0.0855 0.6763 [8 per cell]  7 Fe 2.59-2.72, 5 Ir 2.64-2.67

Results
The calculation puts the formation enthalpy at 0 K at 0.0340 eV per atom. Its final energy is -58.44 eV/f.u.

---

[8]
VASP calculation (PBE) on an optimized crystal structure of FeCoIr.

Cell: 2.6539 3.6136 7.7271 Å, 90.00 90.00 90.00°
Closest atoms and distances in Å follow each position.
Space group Imm2 (No. 44)
One atom of each set of equivalent atoms:
Fe1 0.0000 0.0000 0.0000 [2 per cell]  5 Ir 2.57-2.59, 5 Co 2.58, 2 Fe 2.65
Co1 0.0000 0.0000 0.3335 [2 per cell]  5 Fe 2.58, 5 Ir 2.58, 2 Co 2.65
Ir1 0.0000 0.0000 0.6680 [2 per cell]  5 Fe 2.57-2.59, 5 Co 2.58, 2 Ir 2.65

Results
The calculation puts the formation enthalpy at 0 K at -0.0050 eV per atom. Its final energy is -24.44 eV/f.u.

---

[9]
VASP calculation (PBE) on an optimized crystal structure of FeCoIr.

Cell: 2.6482 2.6482 10.6926 Å, 90.00 90.00 90.00°
Closest atoms and distances in Å follow each position.
Space group P4/nmm (No. 129, origin choice 2)
One atom of each set of equivalent atoms:
Fe1 0.2500 0.2500 0.0825 [2 per cell]  8 Fe 2.57-2.65, 4 Ir 2.61
Co1 0.2500 0.2500 0.4255 [2 per cell]  8 Co 2.46-2.65, 4 Ir 2.63
Ir1 0.2500 0.2500 0.7475 [2 per cell]  4 Fe 2.61, 4 Co 2.63, 4 Ir 2.65

Results
The calculation puts the formation enthalpy at 0 K at 0.0600 eV per atom. Its final energy is -24.25 eV/f.u.

---

[10]
VASP calculation (PBE) on an optimized crystal structure of FeCo2Ir.

Cell: 2.8622 4.1920 8.2664 Å, 90.00 90.00 90.00°
Closest atoms and distances in Å follow each position.
Space group Immm (No. 71)
One atom of each set of equivalent atoms:
Fe1 0.0000 0.0000 0.0000 [2 per cell]  4 Co 2.42, 4 Ir 2.54
Co1 0.0000 0.5000 0.2642 [4 per cell]  2 Fe 2.42, 4 Co 2.55, 2 Ir 2.61
Ir1 0.0000 0.0000 0.5000 [2 per cell]  4 Fe 2.54, 4 Co 2.61

Results
The calculation puts the formation enthalpy at 0 K at 0.0517 eV per atom. Its final energy is -31.33 eV/f.u.

---

[11]
VASP calculation (PBE) on an optimized crystal structure of Fe2Co2Ir7.

Cell: 9.3040 7.6126 4.6063 Å, 90.00 99.39 90.00°
Closest atoms and distances in Å follow each position.
Space group C2/m (No. 12)
One atom of each set of equivalent atoms:
Fe1 0.0000 0.1866 0.0000 [4 per cell]  8 Ir 2.57-2.83, 2 Co 2.65, 1 Fe 2.84
Co1 0.2279 0.0000 0.2476 [4 per cell]  7 Ir 2.48-2.70, 2 Fe 2.65
Ir1 0.0000 0.0000 0.5000 [2 per cell]  2 Co 2.58, 4 Ir 2.60, 4 Fe 2.71
Ir2 0.0420 0.5000 0.2705 [4 per cell]  4 Ir 2.37-2.57
Ir3 0.2251 0.1797 0.7424 [8 per cell]  3 Co 2.48-2.70, 1 Fe 2.57, 5 Ir 2.57-2.74

Results
The calculation puts the formation enthalpy at 0 K at 0.3289 eV per atom. Its final energy is -89.55 eV/f.u.

---

[12]
VASP calculation (PBE) on an optimized crystal structure of Fe5Co6Ir.

Cell: 4.0119 12.0619 5.8551 Å, 90.00 90.00 90.00°
Closest atoms and distances in Å follow each position.
Space group Cmmm (No. 65)
One atom of each set of equivalent atoms:
Fe1 0.0000 0.0000 0.0000 [2 per cell]  8 Co 2.42-2.50
Fe2 0.0000 0.3332 0.0000 [4 per cell]  8 Co 2.42-2.46
Fe3 0.0000 0.3378 0.5000 [4 per cell]  8 Co 2.51, 2 Ir 2.80
Co1 0.0000 0.1706 0.2436 [8 per cell]  7 Fe 2.42-2.51, 1 Ir 2.55
Co2 0.0000 0.5000 0.2312 [4 per cell]  6 Fe 2.42-2.51, 2 Ir 2.55, 1 Co 2.71
Ir1 0.0000 0.0000 0.5000 [2 per cell]  8 Co 2.55, 4 Fe 2.80

Results
The calculation puts the formation enthalpy at 0 K at -0.0186 eV per atom. Its final energy is -94.03 eV/f.u.

---

[13]
VASP calculation (PBE) on an optimized crystal structure of FeCoIr.

Cell: 3.9956 2.6534 4.1863 Å, 90.00 90.19 90.00°
Closest atoms and distances in Å follow each position.
Space group P2/m (No. 10)
One atom of each set of equivalent atoms:
Fe1 0.0000 0.0000 0.0000 [1 per cell]  4 Co 2.40, 2 Fe 2.65
Co1 0.5000 0.5000 0.0000 [1 per cell]  4 Fe 2.40, 4 Ir 2.48, 2 Co 2.65
Ir1 0.5000 0.0000 0.5000 [1 per cell]  4 Co 2.48, 2 Ir 2.65

Results
The calculation puts the formation enthalpy at 0 K at 0.5199 eV per atom. Its final energy is -22.87 eV/f.u.

---

[14]
VASP calculation (PBE) on an optimized crystal structure of Fe2CoIr6.

Cell: 2.7118 7.1305 13.1151 Å, 90.00 90.00 90.00°
Closest atoms and distances in Å follow each position.
Space group Immm (No. 71)
One atom of each set of equivalent atoms:
Fe1 0.0000 0.0000 0.1664 [4 per cell]  8 Ir 2.58-2.59, 2 Fe 2.71
Co1 0.0000 0.0000 0.5000 [2 per cell]  8 Ir 2.56-2.58, 2 Co 2.71
Ir1 0.0000 0.1921 0.3333 [8 per cell]  1 Co 2.58, 3 Fe 2.58, 7 Ir 2.70-2.74
Ir2 0.0000 0.1951 0.0000 [4 per cell]  2 Co 2.56, 2 Fe 2.59, 7 Ir 2.70-2.78

Results
The calculation puts the formation enthalpy at 0 K at 0.1331 eV per atom. Its final energy is -76.00 eV/f.u.

---

[15]
VASP calculation (PBE) on an optimized crystal structure of FeCo5Ir6.

Cell: 4.4685 5.3227 6.4137 Å, 90.00 92.56 90.00°
Closest atoms and distances in Å follow each position.
Space group P2/m (No. 10)
One atom of each set of equivalent atoms:
Fe1 0.0000 0.0000 0.0000 [1 per cell]  8 Ir 2.60, 4 Co 2.66-2.67
Co1 0.0000 0.5000 0.0000 [1 per cell]  8 Ir 2.60, 2 Co 2.66, 2 Fe 2.66
Co2 0.3354 0.5000 0.6677 [2 per cell]  8 Ir 2.59-2.61, 4 Co 2.66
Co3 0.3364 0.0000 0.6658 [2 per cell]  8 Ir 2.59-2.61, 3 Co 2.63-2.66, 1 Fe 2.67
Ir1 0.1652 0.2503 0.3333 [4 per cell]  7 Co 2.59-2.61, 1 Fe 2.60, 4 Ir 2.65-2.66
Ir2 0.5000 0.2507 0.0000 [2 per cell]  6 Co 2.59-2.60, 2 Fe 2.60, 4 Ir 2.65-2.67

Results
The calculation puts the formation enthalpy at 0 K at 0.0290 eV per atom. Its final energy is -96.81 eV/f.u.

---

[16]
VASP calculation (PBE) on an optimized crystal structure of FeCo2Ir2.

Cell: 7.1418 7.1418 2.6727 Å, 90.00 90.00 90.00°
Closest atoms and distances in Å follow each position.
Space group P4/mbm (No. 127)
One atom of each set of equivalent atoms:
Fe1 0.0000 0.0000 0.0000 [2 per cell]  2 Fe 2.67, 4 Ir 2.79, 8 Co 2.97
Co1 0.1679 0.3321 0.5000 [4 per cell]  6 Ir 2.43-2.53, 2 Co 2.67
Ir1 0.1314 0.6314 0.0000 [4 per cell]  6 Co 2.43-2.53, 3 Ir 2.66-2.67

Results
The calculation puts the formation enthalpy at 0 K at 0.2594 eV per atom. Its final energy is -39.10 eV/f.u.

---

[17]
VASP calculation (PBE) on an optimized crystal structure of FeCo2Ir.

Cell: 8.5457 2.6191 4.4461 Å, 90.00 100.68 90.00°
Closest atoms and distances in Å follow each position.
Space group Cm (No. 8)
One atom of each set of equivalent atoms:
Fe1 0.0000 0.0000 0.0000 [2 per cell]  7 Co 2.52-2.64, 3 Ir 2.59-2.62, 2 Fe 2.62
Co1 0.2508 0.5000 0.2451 [2 per cell]  5 Co 2.53-2.62, 4 Ir 2.55-2.61, 3 Fe 2.57-2.58
Co2 0.4961 0.0000 0.4829 [2 per cell]  4 Fe 2.52-2.64, 5 Co 2.53-2.62, 3 Ir 2.58-2.59
Ir1 0.2462 0.0000 0.7351 [2 per cell]  7 Co 2.55-2.61, 3 Fe 2.59-2.62, 2 Ir 2.62

Results
The calculation puts the formation enthalpy at 0 K at 0.0290 eV per atom. Its final energy is -31.42 eV/f.u.

---

[18]
VASP calculation (PBE) on an optimized crystal structure of FeCo2Ir.

Cell: 3.6342 3.6342 3.6077 Å, 90.00 90.00 90.00°
Closest atoms and distances in Å follow each position.
Space group P4/mmm (No. 123)
One atom of each set of equivalent atoms:
Fe1 0.0000 0.0000 0.0000 [1 per cell]  8 Co 2.56, 4 Ir 2.57
Co1 0.0000 0.5000 0.5000 [2 per cell]  4 Ir 2.56, 4 Fe 2.56, 4 Co 2.57
Ir1 0.5000 0.5000 0.0000 [1 per cell]  8 Co 2.56, 4 Fe 2.57

Results
The calculation puts the formation enthalpy at 0 K at 0.0161 eV per atom. Its final energy is -31.47 eV/f.u.

---

[19]
VASP calculation (PBE) on an optimized crystal structure of MgFeCoIr.

Cell: 5.9926 5.9926 5.9926 Å, 90.00 90.00 90.00°
Closest atoms and distances in Å follow each position.
Space group F-43m (No. 216)
One atom of each set of equivalent atoms:
Mg1 0.0000 0.0000 0.0000 [4 per cell]  4 Co 2.59, 4 Ir 2.59
Fe1 0.0000 0.0000 0.5000 [4 per cell]  4 Ir 2.59, 4 Co 2.59
Co1 0.2500 0.2500 0.2500 [4 per cell]  4 Fe 2.59, 4 Mg 2.59
Ir1 0.2500 0.2500 0.7500 [4 per cell]  4 Mg 2.59, 4 Fe 2.59

Results
The calculation puts the formation enthalpy at 0 K at -0.0683 eV per atom. Its final energy is -26.30 eV/f.u.

---

[20]
VASP calculation (PBE) on an optimized crystal structure of FeCo2IrN.

Cell: 3.7704 3.7704 3.8631 Å, 90.00 90.00 90.00°
Closest atoms and distances in Å follow each position.
Space group P4/mmm (No. 123)
One atom of each set of equivalent atoms:
Fe1 0.0000 0.0000 0.0000 [1 per cell]  2 N 1.93
Co1 0.0000 0.5000 0.5000 [2 per cell]  2 N 1.89
Ir1 0.5000 0.5000 0.0000 [1 per cell]  4 Fe 2.67, 8 Co 2.70
N1 0.0000 0.0000 0.5000 [1 per cell]  4 Co 1.89, 2 Fe 1.93

Results
Its final energy is -39.52 eV/f.u. The value obtained for the formation energy without anion corrections is 0.069 eV/atom.

---

[21]
VASP calculation (PBE) on an optimized crystal structure of NbFeCoIr.

Cell: 3.7301 3.7677 3.8287 Å, 90.00 90.00 90.00°
Closest atoms and distances in Å follow each position.
Space group Pmmm (No. 47)
One atom of each set of equivalent atoms:
Nb1 0.0000 0.0000 0.0000 [1 per cell]  4 Co 2.65, 4 Fe 2.67, 4 Ir 2.69
Fe1 0.5000 0.0000 0.5000 [1 per cell]  4 Ir 2.65, 4 Nb 2.67, 4 Co 2.69
Co1 0.5000 0.5000 0.0000 [1 per cell]  4 Nb 2.65, 4 Ir 2.67, 4 Fe 2.69
Ir1 0.0000 0.5000 0.5000 [1 per cell]  4 Fe 2.65, 4 Co 2.67, 4 Nb 2.69

Results
The calculation puts the formation enthalpy at 0 K at -0.2607 eV per atom. Its final energy is -35.54 eV/f.u.

---

[22]
VASP calculation (PBE) on an optimized crystal structure of FeCoNi2Ir.

Cell: 4.1601 4.1601 4.2298 Å, 90.00 90.00 90.00°
Closest atoms and distances in Å follow each position.
Space group P4/mmm (No. 123)
One atom of each set of equivalent atoms:
Fe1 0.0000 0.0000 0.0000 [1 per cell]  2 Co 2.11
Co1 0.0000 0.0000 0.5000 [1 per cell]  4 Ni 2.08, 2 Fe 2.11
Ni1 0.0000 0.5000 0.5000 [2 per cell]  2 Co 2.08
Ir1 0.5000 0.5000 0.0000 [1 per cell]  4 Fe 2.94, 8 Ni 2.97

Results
The calculation puts the formation enthalpy at 0 K at 1.1551 eV per atom. Its final energy is -30.22 eV/f.u.